Entry 1:
An optimized crystal structure of Sm2HoCd. Source: Alexandria, functional GGA-PBE.

POSCAR file:
```
Sm2HoCd
1.0
-2.210 2.824 0.283
-2.406 0.141 2.670
5.821 6.110 7.347
Ho Sm Cd
1 2 1
Cartesian
0.603 4.537 5.150
0.204 2.201 2.490
1.002 6.874 7.809
0.000 0.000 0.000
```

The calculation puts the volume at 30.8 Å³/atom. The energy above the most stable polymorph in this dataset comes out at 93 meV/atom. The calculation puts the density at 7.8 Mg/m³. As for the magnetization: 0.00 μB/cell. As for the space group: R-3m (166). As for the formation energy: -0.058 eV per atom.

Entry 2:
An optimized crystal structure of CoSiRu. Source: Alexandria, functional GGA-PBE.

POSCAR file:
```
CoSiRu
1.0
-0.578 -0.244 -2.634
-0.829 -1.894 1.749
-4.967 2.931 0.819
Co Ru Si
1 1 1
Cartesian
-4.859 2.867 0.801
-2.371 0.215 -0.891
-4.112 0.642 0.843
```

The calculation puts the volume at 12.3 Å³/atom. The calculation puts the density at 8.4 Mg/m³. The formation energy without anion corrections comes out at -0.150 eV per atom. As for the magnetization: 0.57 μB/cell. As for the space group: P3m1 (156).

Entry 3:
An optimized crystal structure of GaSb2PtC. Source: Alexandria, functional GGA-PBE.

POSCAR file:
```
GaSb2PtC
1.0
-4.753 2.804 -0.974
-1.779 -2.153 2.485
1.303 3.623 4.071
Ga C Pt Sb
1 1 1 2
Cartesian
-2.615 2.137 2.791
-0.890 -1.076 1.242
0.000 0.000 0.000
0.651 1.812 2.036
-2.376 1.402 -0.487
```

The calculation puts the volume at 23.5 Å³/atom. The calculation puts the density at 7.4 Mg/m³. The formation energy without anion corrections comes out at 0.613 eV per atom. As for the magnetization: 0.00 μB/cell. As for the space group: P4/mmm (123).

Entry 4:
An optimized crystal structure of Ho3Cd2In3. Source: Alexandria, functional GGA-PBE.

POSCAR file:
```
Ho3Cd2In3
1.0
-2.643 -0.312 -3.904
3.284 -5.100 1.043
-11.615 -5.777 8.324
Ho In Cd
6 6 4
Cartesian
-3.594 -3.290 -0.163
-6.825 -4.347 4.967
-0.976 -5.263 -1.778
-9.998 -5.925 7.241
-4.149 -6.841 0.496
-7.380 -7.898 5.627
-9.563 -9.619 7.242
-9.560 -5.753 4.072
-1.414 -5.435 1.391
-1.411 -1.569 -1.779
-6.178 -3.940 1.638
-4.796 -7.249 3.826
-3.737 -4.565 2.894
-10.608 -8.299 4.985
-0.366 -2.889 0.478
-7.237 -6.623 2.569
```

The calculation puts the volume at 25.9 Å³/atom. The calculation puts the density at 8.5 Mg/m³. As for the magnetization: 0.00 μB/cell. As for the space group: Cmcm (63). As for the formation energy: -0.357 eV per atom.

Entry 5:
An optimized crystal structure of TcH5Pb2. Source: Alexandria, functional GGA-PBE.

POSCAR file:
```
TcH5Pb2
1.0
4.726 0.175 -2.423
-1.306 4.528 -2.400
-0.312 -0.430 5.269
Tc H Pb
1 5 2
Cartesian
2.864 3.937 0.791
0.670 0.914 1.056
2.636 3.640 -0.872
-0.286 3.357 2.710
2.428 3.325 -3.412
3.575 1.205 -2.542
0.098 3.265 0.157
3.104 1.103 0.152
```

The calculation puts the volume at 13.1 Å³/atom. As for the total energy: -4.138 eV/atom. The calculation puts the density at 8.2 Mg/m³. As for the magnetization: 0.00 μB/cell. As for the space group: P1 (1).

Entry 6:
An optimized crystal structure of YHg2P. Source: Alexandria, functional GGA-PBE.

POSCAR file:
```
YHg2P
1.0
-0.732 1.215 5.117
2.768 4.501 0.526
-3.720 -1.102 -3.625
P Hg Y
1 2 1
Cartesian
1.018 2.858 2.821
0.033 3.128 -0.139
0.000 0.000 0.000
-1.717 1.486 2.157
```

The calculation puts the volume at 22.8 Å³/atom. The calculation puts the density at 9.5 Mg/m³. As for the magnetization: 0.00 μB/cell. As for the space group: I-4m2 (119). As for the formation energy: -0.276 eV per atom.

Entry 7:
An optimized crystal structure of NaBi3C. Source: Alexandria, functional GGA-PBE.

POSCAR file:
```
NaBi3C
1.0
5.108 0.000 0.000
0.000 5.108 0.000
0.000 0.000 5.108
C Bi Na
1 3 1
Cartesian
0.000 0.000 0.000
0.000 0.000 2.554
0.000 2.554 0.000
2.554 0.000 0.000
2.554 2.554 2.554
```

The calculation puts the volume at 26.7 Å³/atom. The energy above the most stable polymorph in this dataset comes out at 0 meV/atom. The calculation puts the density at 8.2 Mg/m³. As for the magnetization: 0.00 μB/cell. As for the space group: Pm-3m (221). As for the formation energy: 0.766 eV per atom.

Entry 8:
An optimized crystal structure of SiHgPbW2. Source: Alexandria, functional GGA-PBE.

POSCAR file:
```
SiHgPbW2
1.0
-0.395 -4.191 3.120
1.386 -3.025 -3.888
5.029 0.544 1.368
Pb W Hg Si
1 2 1 1
Cartesian
0.000 0.000 0.000
-0.198 -2.096 1.560
2.514 0.272 0.684
3.009 -3.336 0.300
0.693 -1.513 -1.944
```

The calculation puts the volume at 28.1 Å³/atom. The calculation puts the density at 9.5 Mg/m³. The formation energy without anion corrections comes out at 2.703 eV per atom. As for the magnetization: 4.60 μB/cell. As for the space group: P4/mmm (123).

Entry 9:
An optimized crystal structure of Pm8HC3Br4. Source: Alexandria, functional GGA-PBE.

POSCAR file:
```
Pm8HC3Br4
1.0
7.568 0.000 0.000
0.000 8.529 0.681
-3.784 -3.786 5.353
Pm Br C H
8 4 3 1
Cartesian
1.807 2.267 5.560
5.591 2.477 0.474
3.784 0.669 3.029
-1.807 2.267 5.560
0.000 0.643 3.133
3.784 4.100 2.900
0.000 4.074 3.004
1.977 2.477 0.474
3.784 0.000 0.000
0.000 0.000 0.000
-1.892 -1.893 2.676
1.892 -1.893 2.676
-1.892 2.372 3.017
1.892 2.372 3.017
3.784 4.265 0.340
0.000 4.265 0.340
```

The calculation puts the volume at 22.8 Å³/atom. As for the total energy: -5.578 eV/atom. The calculation puts the density at 6.9 Mg/m³. As for the magnetization: 0.00 μB/cell. As for the space group: R-3m (166).

Entry 10:
An optimized crystal structure of LiCaLaSb. Source: Alexandria, functional GGA-PBE.

POSCAR file:
```
LiCaLaSb
1.0
-2.188 0.612 4.917
-5.104 -1.569 0.907
-0.991 -4.342 3.083
La Li Sb Ca
1 1 1 1
Cartesian
-2.071 -1.325 2.227
0.000 0.000 0.000
-4.142 -2.649 4.454
-6.212 -3.974 6.681
```

The calculation puts the volume at 28.1 Å³/atom. The calculation puts the density at 4.5 Mg/m³. The formation energy without anion corrections comes out at -0.513 eV per atom. As for the magnetization: 0.00 μB/cell. As for the space group: F-43m (216).

Entry 11:
An optimized crystal structure of BaTaTe2. Source: Alexandria, functional GGA-PBE.

POSCAR file:
```
BaTaTe2
1.0
-3.218 -0.753 2.274
0.909 -3.908 -0.008
4.558 1.046 6.796
Te Ba Ta
2 1 1
Cartesian
4.018 0.922 5.990
-0.069 -2.081 2.753
2.146 0.492 3.199
2.991 -1.379 7.315
```

The calculation puts the volume at 33.2 Å³/atom. The energy above the most stable polymorph in this dataset comes out at 329 meV/atom. The calculation puts the density at 7.2 Mg/m³. The formation energy without anion corrections comes out at -0.169 eV per atom. As for the magnetization: 0.00 μB/cell. As for the space group: P4mm (99).

Entry 12:
An optimized crystal structure of CaSmCu2. Source: Alexandria, functional GGA-PBE.

POSCAR file:
```
CaSmCu2
1.0
3.567 0.000 0.000
0.000 3.567 0.000
0.000 0.000 7.126
Cu Ca Sm
2 1 1
Cartesian
0.000 0.000 1.592
0.000 0.000 5.534
1.784 1.784 3.563
1.784 1.784 0.000
```

The calculation puts the volume at 22.7 Å³/atom. The calculation puts the density at 5.8 Mg/m³. As for the magnetization: 0.00 μB/cell. As for the space group: P4/mmm (123). As for the formation energy: -0.137 eV per atom.

Entry 13:
An optimized crystal structure of Al2CuSi. Source: Alexandria, functional GGA-PBE.

POSCAR file:
```
Al2CuSi
1.0
1.961 3.559 2.963
-2.757 -4.189 0.376
6.140 -3.977 0.713
Al Si Cu
4 2 2
Cartesian
7.173 -1.271 3.294
-1.829 -3.336 0.758
4.689 0.338 3.005
0.655 -4.945 1.046
4.398 -2.984 2.309
0.946 -1.623 1.743
3.049 -5.199 1.569
2.295 0.592 2.482
```

The calculation puts the volume at 15.1 Å³/atom. The calculation puts the density at 4.0 Mg/m³. The formation energy without anion corrections comes out at 0.093 eV per atom. As for the magnetization: 0.00 μB/cell. As for the space group: Cmcm (63).

Entry 14:
An optimized crystal structure of Mg2Ru. Source: Alexandria, functional GGA-PBE.

POSCAR file:
```
Mg2Ru
1.0
-3.524 3.159 1.389
-1.888 -0.447 4.535
4.028 0.787 -2.735
Ru Mg
1 2
Cartesian
0.000 0.000 0.000
-1.840 0.922 2.014
-3.573 1.790 3.910
```

The calculation puts the volume at 16.7 Å³/atom. The calculation puts the density at 5.0 Mg/m³. As for the magnetization: 0.00 μB/cell. As for the space group: Immm (71). As for the formation energy: 0.057 eV per atom.

Entry 15:
An optimized crystal structure of KTc3Bi. Source: Alexandria, functional GGA-PBE.

POSCAR file:
```
KTc3Bi
1.0
-1.072 -3.445 3.778
-1.770 -3.371 -3.576
4.797 -2.014 -0.476
Tc Bi K
3 1 1
Cartesian
-0.885 -1.686 -1.788
2.398 -1.007 -0.238
-0.536 -1.723 1.889
0.000 0.000 0.000
0.977 -4.415 -0.137
```

The calculation puts the volume at 28.5 Å³/atom. The energy above the most stable polymorph in this dataset comes out at 0 meV/atom. The calculation puts the density at 6.3 Mg/m³. As for the magnetization: 6.84 μB/cell. As for the space group: Pm-3m (221). As for the formation energy: 2.077 eV per atom.

Entry 16:
An optimized crystal structure of Li14ZnAg. Source: Alexandria, functional GGA-PBE.

POSCAR file:
```
Li14ZnAg
1.0
-3.793 1.624 -4.223
2.616 -5.288 -0.218
-7.325 -3.835 5.103
Li Ag Zn
14 1 1
Cartesian
-8.472 -2.081 0.073
1.287 -3.855 -1.049
-5.267 -5.535 2.074
-3.225 -6.093 0.043
-3.615 -2.932 -2.451
-6.440 -2.890 2.142
-1.917 -0.399 -3.051
-2.635 -4.255 2.270
-3.028 -1.104 -0.235
-7.027 -4.718 -0.074
-4.871 -0.195 -2.437
-0.033 -1.196 -0.946
-0.622 -3.030 -3.169
-1.669 -3.652 -0.433
-1.308 -6.923 2.170
-4.517 -3.462 0.164
```

The calculation puts the volume at 18.3 Å³/atom. The calculation puts the density at 1.5 Mg/m³. As for the magnetization: 0.00 μB/cell. As for the space group: Amm2 (38). As for the formation energy: -0.046 eV per atom.

Entry 17:
An optimized crystal structure of ZnTc3N. Source: Alexandria, functional GGA-PBE.

POSCAR file:
```
ZnTc3N
1.0
-2.662 0.338 0.456
-1.288 -6.320 -2.830
1.429 2.664 6.362
Tc N Zn
3 1 1
Cartesian
-1.026 0.170 2.004
-0.954 -1.701 3.812
0.708 0.279 3.921
0.149 -1.568 2.032
-0.147 2.021 5.760
```

The calculation puts the volume at 18.2 Å³/atom. The energy above the most stable polymorph in this dataset comes out at 722 meV/atom. The calculation puts the density at 6.8 Mg/m³. The formation energy without anion corrections comes out at 0.746 eV per atom. As for the magnetization: 0.00 μB/cell. As for the space group: Amm2 (38).

Entry 18:
An optimized crystal structure of La2SmDy2Ho. Source: Alexandria, functional GGA-PBE.

POSCAR file:
```
La2SmDy2Ho
1.0
-4.850 3.025 0.343
-3.567 -5.381 -2.990
-1.749 -3.821 8.965
La Sm Dy Ho
4 2 4 2
Cartesian
-1.230 -2.066 0.822
-5.986 -5.041 7.619
-2.453 1.471 0.148
-4.142 -7.220 5.107
-5.724 -3.866 0.964
-4.496 -2.391 5.310
-3.928 -1.150 2.399
-2.378 -4.573 6.704
-6.292 -5.107 3.875
-2.994 -4.713 -0.775
-0.901 -1.951 4.460
-2.685 -4.641 2.965
```

The calculation puts the volume at 33.6 Å³/atom. The calculation puts the density at 7.6 Mg/m³. As for the magnetization: 0.00 μB/cell. As for the space group: Pmma (51). As for the formation energy: 0.065 eV per atom.

Entry 19:
An optimized crystal structure of LiHfCdAg. Source: Alexandria, functional GGA-PBE.

POSCAR file:
```
LiHfCdAg
1.0
-2.505 -1.897 -3.553
2.198 -2.488 -3.387
-0.582 -4.701 -0.245
Hf Li Ag Cd
1 1 1 1
Cartesian
0.000 0.000 0.000
-0.445 -4.543 -3.592
-0.222 -2.272 -1.796
-0.667 -6.815 -5.388
```

The calculation puts the volume at 18.9 Å³/atom. The calculation puts the density at 8.9 Mg/m³. As for the magnetization: 0.00 μB/cell. As for the space group: F-43m (216). As for the formation energy: 0.015 eV per atom.

Entry 20:
An optimized crystal structure of NpZn3Au2. Source: Alexandria, functional GGA-PBE.

POSCAR file:
```
NpZn3Au2
1.0
-3.074 1.461 -2.375
-2.204 -8.389 1.317
-4.159 4.375 8.074
Np Zn Au
3 9 6
Cartesian
0.000 0.000 0.000
-5.238 -3.261 1.146
-4.199 0.708 5.869
-7.570 -3.388 4.085
-3.616 2.918 2.849
-1.867 0.835 2.930
-2.714 -5.087 0.383
-3.147 -1.556 3.116
-6.289 -0.997 3.899
-6.068 -2.251 6.468
-6.722 2.534 6.632
-3.368 -0.302 0.547
-4.787 -3.153 4.254
-4.650 0.601 2.761
-4.989 3.707 5.111
-7.424 0.055 6.014
-4.447 -6.259 1.904
-2.013 -2.607 1.001
```

The calculation puts the volume at 19.4 Å³/atom. The calculation puts the density at 11.8 Mg/m³. As for the magnetization: 13.21 μB/cell. As for the space group: C2/m (12). As for the formation energy: -0.116 eV per atom.